[1]
Material: AcAgSb2
Method: DFT, PBE
State: optimized geometry

Computed properties:
Volume ... 29.09 Å³/atom
Energy relative to the elements, uncorrected ... -0.32 eV per atom
Density ... 8.3 g/cm3

Lattice parameters (Å, degrees): 5.480 5.480 5.480 60.00 60.00 60.00
Element x y z (fractional)
Ag (0.500, 0.500, 0.500)
Ac (0.000, 0.000, 0.000)
Sb (0.250, 0.250, 0.250)
Sb (0.750, 0.750, 0.750)

---

[2]
Material: AcAg3Sb3
Method: DFT, PBE
State: optimized geometry

Computed properties:
Volume ... 30.91 Å³/atom
Energy relative to the elements, uncorrected ... 0.04 eV per atom
Density ... 7.0 g/cm3

Lattice parameters (Å, degrees): 7.564 7.564 7.564 90.00 90.00 90.00
Element x y z (fractional)
Ac (0.500, 0.500, 0.500)
Ag (0.250, 0.500, 0.000)
Sb (0.500, 0.750, 0.000)
Sb (0.000, 0.500, 0.250)
Ag (0.500, 0.000, 0.750)
Ag (0.000, 0.250, 0.500)
Ac (0.000, 0.000, 0.000)
Ag (0.000, 0.750, 0.500)
Sb (0.500, 0.250, 0.000)
Sb (0.750, 0.000, 0.500)
Ag (0.500, 0.000, 0.250)
Ag (0.750, 0.500, 0.000)
Sb (0.000, 0.500, 0.750)
Sb (0.250, 0.000, 0.500)

---

[3]
Material: AcAgSb2
Method: DFT, PBE
State: optimized geometry

Computed properties:
Volume ... 29.52 Å³/atom
Energy relative to the elements, uncorrected ... -0.41 eV per atom
Density ... 8.1 g/cm3

Lattice parameters (Å, degrees): 5.005 5.005 6.163 66.04 66.04 60.00
Element x y z (fractional)
Ac (0.500, 0.500, 0.500)
Sb (0.717, 0.717, 0.848)
Ag (0.000, 0.000, 0.000)
Sb (0.283, 0.283, 0.152)